1.
Density functional theory data (PBE-GGA) for an optimized crystal structure of Mn2VTcH.

a = 3.6801 Å, b = 3.6801 Å, c = 3.7927 Å
α = 90.00°, β = 90.00°, γ = 90.00°
Last column: nearest neighbours and their distance in Å.
Positions (direct):
1 H 0.0000 0.0000 0.0000  4 Mn 1.84, 2 V 1.90
2 Mn 0.0000 0.5000 0.0000  2 H 1.84
3 Mn 0.5000 0.0000 0.0000  2 H 1.84
4 Tc 0.5000 0.5000 0.5000  4 V 2.60, 8 Mn 2.64
5 V 0.0000 0.0000 0.5000  2 H 1.90

Computed properties:
SG = P4/mmm, No. 123
Energy relative to the lowest polymorph listed for this composition = 0.005 eV per atom

2.
Density functional theory data (PBE-GGA) for an optimized crystal structure of MnV2TcH.

a = 4.1274 Å, b = 4.1274 Å, c = 3.2101 Å
α = 90.00°, β = 90.00°, γ = 90.00°
Last column: nearest neighbours and their distance in Å.
Positions (direct):
1 H 0.0000 0.0000 0.0000  2 Mn 1.61
2 Mn 0.0000 0.0000 0.5000  2 H 1.61
3 Tc 0.5000 0.5000 0.5000  8 V 2.61, 4 Mn 2.92
4 V 0.0000 0.5000 0.0000  2 H 2.06
5 V 0.5000 0.0000 0.0000  2 H 2.06

Computed properties:
SG = P4/mmm, No. 123
Energy relative to the lowest polymorph listed for this composition = 0.000 eV per atom

3.
Density functional theory data (PBE-GGA) for an optimized crystal structure of MnV2TcH.

a = 4.0636 Å, b = 3.3684 Å, c = 4.0636 Å
α = 90.00°, β = 90.00°, γ = 90.00°
Last column: nearest neighbours and their distance in Å.
Positions (direct):
1 H 0.0000 0.0000 0.0000  2 Tc 1.68
2 Mn 0.5000 0.5000 0.5000  8 V 2.64, 4 Tc 2.87
3 Tc 0.0000 0.5000 0.0000  2 H 1.68
4 V 0.0000 0.0000 0.5000  2 H 2.03
5 V 0.5000 0.0000 0.0000  2 H 2.03

Computed properties:
SG = P4/mmm, No. 123
Energy relative to the lowest polymorph listed for this composition = 0.177 eV per atom

4.
Density functional theory data (PBE-GGA) for an optimized crystal structure of Mn2TcHW.

a = 3.7517 Å, b = 3.7517 Å, c = 3.9497 Å
α = 90.00°, β = 90.00°, γ = 90.00°
Last column: nearest neighbours and their distance in Å.
Positions (direct):
1 H 0.0000 0.0000 0.0000  4 Mn 1.88, 2 W 1.97
2 Mn 0.0000 0.5000 0.0000  2 H 1.88
3 Mn 0.5000 0.0000 0.0000  2 H 1.88
4 Tc 0.5000 0.5000 0.5000  4 W 2.65, 8 Mn 2.72
5 W 0.0000 0.0000 0.5000  2 H 1.97

Computed properties:
SG = P4/mmm, No. 123
Energy relative to the lowest polymorph listed for this composition = 0.033 eV per atom

5.
Density functional theory data (PBE-GGA) for an optimized crystal structure of Mn2TcHW.

a = 3.7692 Å, b = 3.7692 Å, c = 3.9106 Å
α = 90.00°, β = 90.00°, γ = 90.00°
Last column: nearest neighbours and their distance in Å.
Positions (direct):
1 H 0.0000 0.0000 0.0000  4 Mn 1.88, 2 Tc 1.96
2 Mn 0.0000 0.5000 0.0000  2 H 1.88
3 Mn 0.5000 0.0000 0.0000  2 H 1.88
4 Tc 0.0000 0.0000 0.5000  2 H 1.96
5 W 0.5000 0.5000 0.5000  4 Tc 2.67, 8 Mn 2.72

Computed properties:
SG = P4/mmm, No. 123
Energy relative to the lowest polymorph listed for this composition = 0.000 eV per atom

6.
Density functional theory data (PBE-GGA) for an optimized crystal structure of MnTcHW2.

a = 4.1266 Å, b = 4.1266 Å, c = 3.5791 Å
α = 90.00°, β = 90.00°, γ = 90.00°
Last column: nearest neighbours and their distance in Å.
Positions (direct):
1 H 0.0000 0.0000 0.0000  2 Mn 1.79
2 Mn 0.0000 0.0000 0.5000  2 H 1.79
3 Tc 0.5000 0.5000 0.5000  8 W 2.73, 4 Mn 2.92
4 W 0.0000 0.5000 0.0000  2 H 2.06
5 W 0.5000 0.0000 0.0000  2 H 2.06

Computed properties:
SG = P4/mmm, No. 123
Raw total energy = -9.597 eV per atom

7.
Density functional theory data (PBE-GGA) for an optimized crystal structure of MnTc2HW.

a = 3.9830 Å, b = 3.9830 Å, c = 3.7406 Å
α = 90.00°, β = 90.00°, γ = 90.00°
Last column: nearest neighbours and their distance in Å.
Positions (direct):
1 H 0.0000 0.0000 0.0000  2 Mn 1.87, 4 Tc 1.99
2 Mn 0.0000 0.0000 0.5000  2 H 1.87
3 Tc 0.0000 0.5000 0.0000  2 H 1.99
4 Tc 0.5000 0.0000 0.0000  2 H 1.99
5 W 0.5000 0.5000 0.5000  8 Tc 2.73, 4 Mn 2.82

Computed properties:
SG = P4/mmm, No. 123
Raw total energy = -9.183 eV per atom

8.
Density functional theory data (PBE-GGA) for an optimized crystal structure of YMn2TcH.

a = 4.7612 Å, b = 3.5884 Å, c = 4.7612 Å
α = 90.00°, β = 90.00°, γ = 90.00°
Last column: nearest neighbours and their distance in Å.
Positions (direct):
1 Y 0.5000 0.5000 0.5000  8 Mn 2.98
2 H 0.0000 0.5000 0.0000  2 Tc 1.79
3 Mn 0.0000 0.0000 0.5000  2 Tc 2.38
4 Mn 0.5000 0.0000 0.0000  2 Tc 2.38
5 Tc 0.0000 0.0000 0.0000  2 H 1.79

Computed properties:
SG = P4/mmm, No. 123
Raw total energy = -7.125 eV per atom

9.
Density functional theory data (PBE-GGA) for an optimized crystal structure of Mn2ZnTcH.

a = 3.7529 Å, b = 3.7529 Å, c = 3.8867 Å
α = 90.00°, β = 90.00°, γ = 90.00°
Last column: nearest neighbours and their distance in Å.
Positions (direct):
1 H 0.0000 0.0000 0.0000  4 Mn 1.88, 2 Tc 1.94
2 Zn 0.5000 0.5000 0.5000  4 Tc 2.65, 8 Mn 2.70
3 Mn 0.0000 0.5000 0.0000  2 H 1.88
4 Mn 0.5000 0.0000 0.0000  2 H 1.88
5 Tc 0.0000 0.0000 0.5000  2 H 1.94

Computed properties:
SG = P4/mmm, No. 123
Raw total energy = -6.562 eV per atom

10.
Density functional theory data (PBE-GGA) for an optimized crystal structure of ZrMn2TcH.

a = 3.8380 Å, b = 3.8380 Å, c = 4.2367 Å
α = 90.00°, β = 90.00°, γ = 90.00°
Last column: nearest neighbours and their distance in Å.
Positions (direct):
1 H 0.0000 0.0000 0.0000  4 Mn 1.92, 2 Tc 2.12
2 Mn 0.0000 0.5000 0.0000  2 H 1.92
3 Mn 0.5000 0.0000 0.0000  2 H 1.92
4 Tc 0.0000 0.0000 0.5000  2 H 2.12
5 Zr 0.5000 0.5000 0.5000  4 Tc 2.71, 8 Mn 2.86

Computed properties:
SG = P4/mmm, No. 123
Raw total energy = -8.080 eV per atom

11.
Density functional theory data (PBE-GGA) for an optimized crystal structure of Zr2MnTcH.

a = 4.6040 Å, b = 4.6040 Å, c = 3.3643 Å
α = 90.00°, β = 90.00°, γ = 90.00°
Last column: nearest neighbours and their distance in Å.
Positions (direct):
1 H 0.0000 0.0000 0.0000  2 Mn 1.68
2 Mn 0.0000 0.0000 0.5000  2 H 1.68
3 Tc 0.5000 0.5000 0.5000  8 Zr 2.85
4 Zr 0.0000 0.5000 0.0000  2 H 2.30
5 Zr 0.5000 0.0000 0.0000  2 H 2.30

Computed properties:
SG = P4/mmm, No. 123
Energy relative to the lowest polymorph listed for this composition = 0.000 eV per atom

12.
Density functional theory data (PBE-GGA) for an optimized crystal structure of Zr2MnTcH.

a = 4.6322 Å, b = 4.6322 Å, c = 3.4110 Å
α = 90.00°, β = 90.00°, γ = 90.00°
Last column: nearest neighbours and their distance in Å.
Positions (direct):
1 H 0.0000 0.0000 0.0000  2 Tc 1.71
2 Mn 0.5000 0.5000 0.5000  8 Zr 2.88
3 Tc 0.0000 0.0000 0.5000  2 H 1.71
4 Zr 0.0000 0.5000 0.0000  2 H 2.32
5 Zr 0.5000 0.0000 0.0000  2 H 2.32

Computed properties:
SG = P4/mmm, No. 123
Energy relative to the lowest polymorph listed for this composition = 0.100 eV per atom

no.,total moment (μB/f.u.),DOS at the Fermi energy (states/eV/atom)
1,0.14,1.0203
2,0.94,0.7639
3,0.00,1.1628
4,2.57,0.9348
5,2.94,0.8226
6,2.01,0.6793
7,2.13,0.8143
8,5.62,1.4671
9,4.57,1.0745
10,4.53,1.0700
11,1.06,0.7765
12,0.93,0.9601